Record 1
InP2IrCl after structural relaxation, computed with PBE.

Geometry as CIF:
```
data_InP2IrCl
_symmetry_space_group_name_H-M 'P 1'
_symmetry_Int_Tables_number 1
_cell_length_a 4.9859
_cell_length_b 4.9859
_cell_length_c 4.8531
_cell_angle_alpha 90.00
_cell_angle_beta 90.00
_cell_angle_gamma 90.00
loop_
_symmetry_equiv_pos_as_xyz
'x,y,z'
loop_
_atom_site_label
_atom_site_type_symbol
_atom_site_fract_x
_atom_site_fract_y
_atom_site_fract_z
In1 In 0.0000 0.0000 0.0000
P1 P 0.0000 0.5000 0.0000
P2 P 0.5000 0.0000 0.0000
Ir1 Ir 0.5000 0.5000 0.5000
Cl1 Cl 0.0000 0.0000 0.5000
```

Calculated values
- spin magnetization (μB per atom) = 0.2082
- raw total energy (eV per atom) = -3.31
- SG = P4/mmm (123)
- E_form (uncorrected) (eV per atom) = 1.547



Record 2
PuZr2Pa after structural relaxation, computed with PBE.

Geometry as CIF:
```
data_PuZr2Pa
_symmetry_space_group_name_H-M 'P 1'
_symmetry_Int_Tables_number 1
_cell_length_a 3.2304
_cell_length_b 3.2304
_cell_length_c 32.3380
_cell_angle_alpha 90.00
_cell_angle_beta 90.00
_cell_angle_gamma 120.00
loop_
_symmetry_equiv_pos_as_xyz
'x,y,z'
loop_
_atom_site_label
_atom_site_type_symbol
_atom_site_fract_x
_atom_site_fract_y
_atom_site_fract_z
Pu1 Pu 0.0000 0.0000 0.0000
Pu2 Pu 0.3333 0.6667 0.6667
Pu3 Pu 0.6667 0.3333 0.3333
Zr1 Zr 0.0000 0.0000 0.2509
Zr2 Zr 0.0000 0.0000 0.7491
Zr3 Zr 0.3333 0.6667 0.4158
Zr4 Zr 0.3333 0.6667 0.9176
Zr5 Zr 0.6667 0.3333 0.0824
Zr6 Zr 0.6667 0.3333 0.5842
Pa1 Pa 0.0000 0.0000 0.5000
Pa2 Pa 0.3333 0.6667 0.1667
Pa3 Pa 0.6667 0.3333 0.8333
```

Calculated values
- spin magnetization (μB per atom) = 1.3107
- raw total energy (eV per atom) = -10.07
- SG = R-3m (166)
- energy relative to the elements (kJ/mol of atoms) = 15.3